i:
{
  "formula": "Tb3Pr7Ho",
  "functional": "PBE",
  "state": "relaxed",
  "lattice_angstrom": [[7.231, 0.000, 0.000], [3.605, 9.763, 0.000], [3.601, 4.045, 11.380]],
  "species": ["Tb", "Tb", "Tb", "Tb", "Tb", "Tb", "Pr", "Pr", "Pr", "Pr", "Pr", "Pr", "Pr", "Pr", "Pr", "Pr", "Pr", "Pr", "Pr", "Pr", "Ho", "Ho"],
  "fractional_positions": [[0.000, 0.000, 0.000], [0.000, 0.500, 0.500], [0.326, 0.068, 0.273], [0.331, 0.568, 0.773], [0.669, 0.432, 0.227], [0.674, 0.932, 0.727], [0.085, 0.807, 0.528], [0.089, 0.306, 0.024], [0.155, 0.455, 0.227], [0.163, 0.956, 0.727], [0.291, 0.750, 0.250], [0.419, 0.194, 0.476], [0.419, 0.693, 0.972], [0.581, 0.307, 0.028], [0.581, 0.806, 0.524], [0.709, 0.250, 0.750], [0.837, 0.044, 0.273], [0.845, 0.545, 0.773], [0.911, 0.694, 0.976], [0.915, 0.193, 0.472], [0.500, 0.000, 0.000], [0.500, 0.500, 0.500]]
}

ii:
{
  "formula": "Tb3Pr7Ho",
  "functional": "PBE",
  "state": "relaxed",
  "lattice_angstrom": [[6.460, -5.736, 0.000], [6.460, 5.736, 0.000], [-2.757, 0.000, 5.295]],
  "species": ["Tb", "Tb", "Tb", "Pr", "Pr", "Pr", "Pr", "Pr", "Pr", "Pr", "Ho"],
  "fractional_positions": [[0.000, 0.000, 0.000], [0.205, 0.795, 0.500], [0.795, 0.205, 0.500], [0.018, 0.597, 0.808], [0.209, 0.209, 0.708], [0.403, 0.982, 0.192], [0.500, 0.500, 0.500], [0.597, 0.018, 0.808], [0.791, 0.791, 0.292], [0.982, 0.403, 0.192], [0.500, 0.500, 0.000]]
}

Least stable of them? ii.

i:
{
  "formula": "Tb5Pr4Ho",
  "functional": "PBE",
  "state": "relaxed",
  "lattice_angstrom": [[-5.354, 5.354, 3.023], [5.354, -5.354, 3.023], [5.354, 5.354, -3.023]],
  "species": ["Tb", "Tb", "Tb", "Tb", "Tb", "Pr", "Pr", "Pr", "Pr", "Ho"],
  "fractional_positions": [[0.000, 0.000, 0.000], [0.547, 0.547, 0.624], [0.547, 0.923, 0.000], [0.923, 0.547, 0.000], [0.923, 0.923, 0.376], [0.246, 0.569, 0.323], [0.246, 0.923, 0.677], [0.569, 0.246, 0.323], [0.923, 0.246, 0.677], [0.474, 0.474, 0.000]]
}

ii:
{
  "formula": "Tb5Pr4Ho",
  "functional": "PBE",
  "state": "relaxed",
  "lattice_angstrom": [[8.656, -1.779, 0.000], [8.656, 1.779, 0.000], [-0.010, 0.000, 11.342]],
  "species": ["Tb", "Tb", "Tb", "Tb", "Tb", "Pr", "Pr", "Pr", "Pr", "Ho"],
  "fractional_positions": [[0.000, 0.000, 0.000], [0.327, 0.327, 0.051], [0.327, 0.327, 0.450], [0.673, 0.673, 0.550], [0.673, 0.673, 0.949], [0.158, 0.158, 0.250], [0.468, 0.468, 0.250], [0.532, 0.532, 0.750], [0.842, 0.842, 0.750], [0.000, 0.000, 0.500]]
}

Least stable of them? i.

i:
{
  "formula": "Tb2Pr7Ho2",
  "functional": "PBE",
  "state": "relaxed",
  "lattice_angstrom": [[4.649, -4.823, 0.000], [4.649, 4.823, 0.000], [-1.656, 0.000, 8.645]],
  "species": ["Tb", "Tb", "Pr", "Pr", "Pr", "Pr", "Pr", "Pr", "Pr", "Ho", "Ho"],
  "fractional_positions": [[0.176, 0.824, 0.000], [0.824, 0.176, 0.000], [0.044, 0.414, 0.703], [0.344, 0.344, 0.085], [0.414, 0.044, 0.703], [0.500, 0.500, 0.500], [0.586, 0.956, 0.297], [0.656, 0.656, 0.915], [0.956, 0.586, 0.297], [0.108, 0.108, 0.355], [0.892, 0.892, 0.645]]
}

ii:
{
  "formula": "Tb2Pr7Ho2",
  "functional": "PBE",
  "state": "relaxed",
  "lattice_angstrom": [[5.775, -5.805, 0.000], [5.775, 5.805, 0.000], [-2.297, 0.000, 5.728]],
  "species": ["Tb", "Tb", "Pr", "Pr", "Pr", "Pr", "Pr", "Pr", "Pr", "Ho", "Ho"],
  "fractional_positions": [[0.227, 0.227, 0.090], [0.773, 0.773, 0.910], [0.000, 0.000, 0.500], [0.050, 0.586, 0.319], [0.414, 0.950, 0.681], [0.425, 0.425, 0.700], [0.575, 0.575, 0.300], [0.586, 0.050, 0.319], [0.950, 0.414, 0.681], [0.215, 0.785, 0.000], [0.785, 0.215, 0.000]]
}

Least stable of them? ii.

i:
{
  "formula": "Tb3Pr2Ho7",
  "functional": "PBE",
  "state": "relaxed",
  "lattice_angstrom": [[6.339, 0.000, 0.000], [0.000, 3.520, 0.000], [-1.879, 0.000, 17.383]],
  "species": ["Tb", "Tb", "Tb", "Pr", "Pr", "Ho", "Ho", "Ho", "Ho", "Ho", "Ho", "Ho"],
  "fractional_positions": [[0.000, 0.000, 0.000], [0.048, 0.500, 0.658], [0.952, 0.500, 0.342], [0.441, 0.000, 0.326], [0.559, 0.000, 0.674], [0.224, 0.500, 0.162], [0.244, 0.000, 0.501], [0.273, 0.000, 0.835], [0.500, 0.500, 0.000], [0.727, 0.000, 0.165], [0.756, 0.000, 0.499], [0.776, 0.500, 0.838]]
}

ii:
{
  "formula": "Tb3Pr2Ho7",
  "functional": "PBE",
  "state": "relaxed",
  "lattice_angstrom": [[2.844, -18.971, 0.000], [2.844, 18.971, 0.000], [0.000, 0.000, 3.611]],
  "species": ["Tb", "Tb", "Tb", "Pr", "Pr", "Ho", "Ho", "Ho", "Ho", "Ho", "Ho", "Ho"],
  "fractional_positions": [[0.000, 0.000, 0.000], [0.186, 0.814, 0.000], [0.814, 0.186, 0.000], [0.353, 0.647, 0.500], [0.647, 0.353, 0.500], [0.089, 0.911, 0.500], [0.269, 0.731, 0.500], [0.429, 0.571, 0.000], [0.500, 0.500, 0.500], [0.571, 0.429, 0.000], [0.731, 0.269, 0.500], [0.911, 0.089, 0.500]]
}

Least stable of them? ii.